(1)
{
  "formula": "SrIrRu2",
  "functional": "meta-GGA SCAN",
  "state": "PBEsol geometry",
  "space_group": "P4/mmm",
  "magmom_total_mub_per_cell": 0.0,
  "e_form_mev_per_atom": 547,
  "volume_a3_per_cell": 67,
  "cell": [[-2.454, -0.602, 1.262], [1.396, -0.925, 2.274], [-0.213, 7.777, 3.296]],
  "species": ["Ir", "Ru", "Ru", "Sr"],
  "frac_coords": [[0.500, 0.500, 0.500], [0.000, 0.000, 0.704], [0.000, 0.000, 0.296], [0.500, 0.500, 0.000]]
}

***

(2)
{
  "formula": "LiAlZn",
  "functional": "meta-GGA SCAN",
  "state": "PBEsol geometry",
  "space_group": "P3m1",
  "magmom_total_mub_per_cell": 0.0,
  "e_form_mev_per_atom": -140,
  "volume_a3_per_cell": 46,
  "cell": [[2.791, 0.000, 0.000], [0.000, 4.367, 0.000], [0.000, -2.183, 3.782]],
  "species": ["Zn", "Al", "Li"],
  "frac_coords": [[0.246, 0.667, 0.333], [0.100, 0.000, 0.000], [0.653, 0.333, 0.667]]
}